1.
Density functional theory data (PBE) for a relaxed BaTc2Ru2 crystal.

Computed properties:
Its spin magnetization is 0.00 μB per cell. The calculation puts the energy above the lowest structure with this stoichiometry at 4.32 kJ per mole of atoms. The energy relative to the elements is 2.53 eV per formula unit. The space-group type is No. 127.

Cell and atoms, written as POSCAR:
```
BaTc2Ru2
1.0
8.0416 0.0000 0.0000
0.0000 8.0416 0.0000
0.0000 0.0000 2.8398
Ru Ba Tc
4 2 4
Direct
0.1623 0.6623 0.5000 Ru
0.6623 0.8377 0.5000 Ru
0.8377 0.3377 0.5000 Ru
0.3377 0.1623 0.5000 Ru
0.0000 0.0000 0.0000 Ba
0.5000 0.5000 0.0000 Ba
0.3876 0.8876 0.0000 Tc
0.8876 0.6124 0.0000 Tc
0.6124 0.1124 0.0000 Tc
0.1124 0.3876 0.0000 Tc
```

=====

2.
Density functional theory data (PBE) for a relaxed MnNi2RhN crystal.

Computed properties:
Its spin magnetization is 4.12 μB per cell. The calculation puts the energy above the lowest structure with this stoichiometry at 0.00 kJ per mole of atoms. The space-group type is No. 123. The formation energy (no corrections) comes out at -0.85 kcal/mol of atoms.

Cell and atoms, written as POSCAR:
```
MnNi2RhN
1.0
-2.4559 -2.8495 0.4136
1.0420 -1.3863 -3.3637
2.7658 -2.1318 1.7354
Ni Mn Rh N
2 1 1 1
Direct
0.0000 0.5000 0.0000 Ni
0.5000 0.0000 0.0000 Ni
0.0000 0.0000 0.5000 Mn
0.5000 0.5000 0.5000 Rh
0.0000 0.0000 0.0000 N
```

=====

3.
Density functional theory data (PBE) for a relaxed Ac4SbTe2N2 crystal.

Computed properties:
Its spin magnetization is 0.79 μB per cell. The space-group type is No. 12. The formation energy (no corrections) comes out at -30.03 kcal/mol of atoms.

Cell and atoms, written as POSCAR:
```
Ac4SbTe2N2
1.0
-3.0941 -0.2732 -3.1538
3.6827 -8.4035 0.2215
-5.7390 0.9904 5.5445
Ac Sb Te N
4 1 2 2
Direct
0.7824 0.5647 0.8421 Ac
0.2176 0.4353 0.1579 Ac
0.4515 0.9031 0.2435 Ac
0.5485 0.0969 0.7565 Ac
0.0000 0.0000 0.0000 Sb
0.8756 0.7512 0.4807 Te
0.1244 0.2488 0.5193 Te
0.3196 0.6391 0.0202 N
0.6804 0.3609 0.9798 N
```

=====

4.
Density functional theory data (PBE) for a relaxed KRu2Br crystal.

Computed properties:
Its spin magnetization is 4.29 μB per cell. The calculation puts the energy above the lowest structure with this stoichiometry at 64.45 kJ per mole of atoms. The space-group type is No. 139. The formation energy (no corrections) comes out at 22.64 kcal/mol of atoms.

Cell and atoms, written as POSCAR:
```
KRu2Br
1.0
-0.7741 -6.8529 -1.4011
2.2277 -4.1824 -5.2027
1.5753 4.9653 4.7317
Br K Ru
1 1 2
Direct
0.2500 0.7500 0.5000 Br
0.7500 0.2500 0.5000 K
0.0000 0.0000 0.0000 Ru
0.5000 0.5000 0.0000 Ru
```

=====

5.
Density functional theory data (PBE) for a relaxed HoVN crystal.

Computed properties:
Its spin magnetization is 0.00 μB per cell. The calculation puts the energy above the lowest structure with this stoichiometry at 0.00 kJ per mole of atoms. The space-group type is No. 63. The formation energy (no corrections) comes out at -18.32 kcal/mol of atoms.

Cell and atoms, written as POSCAR:
```
HoVN
1.0
3.3015 0.0000 0.0000
0.0000 3.7983 0.0000
-1.6507 0.0000 7.1381
Ho V N
2 2 2
Direct
0.3326 0.3470 0.6652 Ho
0.6674 0.8470 0.3348 Ho
0.0333 0.3470 0.0666 V
0.9667 0.8470 0.9334 V
0.1683 0.3470 0.3365 N
0.8317 0.8470 0.6635 N
```

=====

6.
Density functional theory data (PBE) for a relaxed K4Er3PuS8 crystal.

Computed properties:
Its spin magnetization is 5.00 μB per cell. The space-group type is No. 166. The formation energy (no corrections) comes out at -41.53 kcal/mol of atoms.

Cell and atoms, written as POSCAR:
```
K4Er3PuS8
1.0
8.0955 0.0000 0.0000
0.0000 8.7011 0.4199
-4.0478 -4.0433 5.7277
K Er Pu S
4 3 1 8
Direct
0.5000 0.0000 0.0000 K
0.5000 0.0000 0.5000 K
0.0000 0.0000 0.0000 K
0.0000 0.0000 0.5000 K
0.5000 0.5000 0.0000 Er
0.5000 0.5000 0.5000 Er
0.0000 0.5000 0.5000 Er
0.0000 0.5000 0.0000 Pu
0.2361 0.7004 0.9644 S
0.2361 0.7004 0.4722 S
0.2666 0.2997 0.5331 S
0.7283 0.7004 0.9644 S
0.2717 0.2996 0.0356 S
0.7334 0.7003 0.4669 S
0.7639 0.2996 0.5278 S
0.7639 0.2996 0.0356 S
```

=====

7.
Density functional theory data (PBE) for a relaxed AcPr6Y5 crystal.

Computed properties:
Its spin magnetization is 0.00 μB per cell. The energy relative to the elements is 0.24 eV per formula unit. The space-group type is No. 12.

Cell and atoms, written as POSCAR:
```
AcPr6Y5
1.0
12.0238 -1.5835 0.0000
1.9269 6.0848 0.0000
0.9634 3.0424 5.5255
Ac Pr Y
1 6 5
Direct
0.0000 0.0000 0.0000 Ac
0.7457 0.0842 0.3357 Pr
0.2543 0.5801 0.3357 Pr
0.2546 0.2510 0.0000 Pr
0.7454 0.7490 0.0000 Pr
0.7457 0.4199 0.6643 Pr
0.2543 0.9158 0.6643 Pr
0.5000 0.1671 0.6659 Y
0.0000 0.3334 0.3331 Y
0.5000 0.5000 0.0000 Y
0.0000 0.6666 0.6669 Y
0.5000 0.8329 0.3341 Y
```

=====

8.
Density functional theory data (PBE) for a relaxed Na3Y3TaO8 crystal.

Computed properties:
Its spin magnetization is 0.00 μB per cell. The space-group type is No. 166. The formation energy (no corrections) comes out at -62.81 kcal/mol of atoms.

Cell and atoms, written as POSCAR:
```
Na3Y3TaO8
1.0
6.7109 -0.0013 -0.0006
-3.3566 5.8135 -0.0208
0.0001 -3.8567 5.6598
Na Y Ta O
3 3 1 8
Direct
0.0000 0.0000 0.0000 Na
0.0000 0.5000 0.0000 Na
0.5000 0.5000 0.0000 Na
0.5000 0.0000 0.5000 Y
0.5000 0.5000 0.5000 Y
0.0000 0.5000 0.5000 Y
0.0000 0.0000 0.5000 Ta
0.2593 0.5185 0.2779 O
0.7407 0.4815 0.7221 O
0.7859 0.5717 0.3032 O
0.2141 0.4283 0.6968 O
0.7859 0.0174 0.3032 O
0.2141 0.9826 0.6968 O
0.2317 0.0174 0.3031 O
0.7683 0.9826 0.6969 O
```

=====

9.
Density functional theory data (PBE) for a relaxed Tb2Pr6Tm3 crystal.

Computed properties:
Its spin magnetization is 0.00 μB per cell. The calculation puts the energy above the lowest structure with this stoichiometry at 0.00 kJ per mole of atoms. The energy relative to the elements is 0.21 eV per formula unit. The space-group type is No. 2.

Cell and atoms, written as POSCAR:
```
Tb2Pr6Tm3
1.0
-3.0721 -1.7173 5.1908
-2.7467 -5.9178 -4.8455
-2.2710 -14.5061 2.6863
Tb Pr Tm
2 6 3
Direct
0.6413 0.4590 0.0885 Tb
0.3587 0.5410 0.9115 Tb
0.0920 0.6368 0.7291 Pr
0.7300 0.0904 0.8178 Pr
0.9080 0.3632 0.2709 Pr
0.2700 0.9096 0.1822 Pr
0.8174 0.7223 0.5465 Pr
0.1826 0.2777 0.4535 Pr
0.0000 0.0000 0.0000 Tm
0.5491 0.8212 0.3608 Tm
0.4509 0.1788 0.6392 Tm
```

=====

10.
Density functional theory data (PBE) for a relaxed Cs2GaGeAu6 crystal.

Computed properties:
Its spin magnetization is 0.00 μB per cell. The energy relative to the elements is -2.32 eV per formula unit. The space-group type is No. 1.

Cell and atoms, written as POSCAR:
```
Cs2GaGeAu6
1.0
7.0042 0.0053 -0.0050
0.0049 7.0885 -0.0067
-3.5056 -3.5486 5.2552
Cs Ga Ge Au
2 1 1 6
Direct
0.7450 0.2457 0.4907 Cs
0.3193 0.8198 0.6389 Cs
0.9470 0.9478 0.8939 Ga
0.4495 0.4497 0.8977 Ge
0.8292 0.7400 0.0672 Au
0.7042 0.7046 0.4091 Au
0.2385 0.3289 0.0674 Au
0.8291 0.3286 0.0666 Au
0.1992 0.1995 0.3994 Au
0.2380 0.7393 0.0670 Au
```

=====

11.
Density functional theory data (PBE) for a relaxed Mg2Ga5Ir3 crystal.

Computed properties:
Its spin magnetization is 0.00 μB per cell. The energy relative to the elements is -4.01 eV per formula unit. The space-group type is No. 15.

Cell and atoms, written as POSCAR:
```
Mg2Ga5Ir3
1.0
5.4542 -0.0610 -0.5820
-1.0220 7.6502 -1.6481
-0.0889 0.0597 7.8914
Mg Ga Ir
4 10 6
Direct
0.9116 0.6037 0.1642 Mg
0.4116 0.1642 0.6037 Mg
0.0884 0.3963 0.8358 Mg
0.5884 0.8358 0.3963 Mg
0.5719 0.2781 0.9661 Ga
0.0719 0.9661 0.2781 Ga
0.4281 0.7219 0.0339 Ga
0.9281 0.0339 0.7219 Ga
0.9576 0.7345 0.8220 Ga
0.0424 0.2655 0.1780 Ga
0.7500 0.5112 0.4888 Ga
0.2500 0.4888 0.5112 Ga
0.5424 0.1780 0.2655 Ga
0.4576 0.8220 0.7345 Ga
0.5868 0.5075 0.7871 Ir
0.0868 0.7871 0.5075 Ir
0.4132 0.4925 0.2129 Ir
0.9132 0.2129 0.4925 Ir
0.2500 0.0102 0.9898 Ir
0.7500 0.9898 0.0102 Ir
```

=====

12.
Density functional theory data (PBE) for a relaxed Ca3ZnCu2Au9 crystal.

Computed properties:
Its spin magnetization is 0.00 μB per cell. The energy relative to the elements is -4.81 eV per formula unit. The space-group type is No. 164.

Cell and atoms, written as POSCAR:
```
Ca3ZnCu2Au9
1.0
-3.0449 4.6992 -1.4989
0.7994 -4.2783 -3.8285
-10.1180 -5.3301 3.8437
Ca Zn Cu Au
3 1 2 9
Direct
0.3333 0.6667 0.7722 Ca
0.0000 0.0000 0.0000 Ca
0.6667 0.3333 0.2278 Ca
0.0000 0.0000 0.5000 Zn
0.3333 0.6667 0.1659 Cu
0.6667 0.3333 0.8341 Cu
0.8337 0.1663 0.6692 Au
0.8337 0.6673 0.6692 Au
0.3327 0.1663 0.6692 Au
0.6673 0.8337 0.3308 Au
0.1663 0.3327 0.3308 Au
0.1663 0.8337 0.3308 Au
0.5000 0.0000 0.0000 Au
0.0000 0.5000 0.0000 Au
0.5000 0.5000 0.0000 Au
```